DFT (PBE+U) results for crystalline VBiF2 at its relaxed geometry.

electronic total energy: -4.289 eV per atom
V: 67 Å³ per cell
size of the total moment: 3.757 μB/f.u.
ΔE to the lowest computed polymorph: 1244 meV per atom
calculated density: 7.4 Mg/m³

Unit cell a=4.5590 b=4.5590 c=4.5590 alpha=60.00 beta=60.00 gamma=60.00
Fractional coordinates of all 4 atoms:
V  0.0000  0.0000  0.0000
Bi  0.5000  0.5000  0.5000
F  0.2500  0.2500  0.2500
F  0.7500  0.7500  0.7500